Computed, not measured: KNaHfSe3 after structural relaxation at the PBE-GGA level of DFT.

Cell: 7.8753 3.9683 10.1309 Å, 90.00 94.86 90.00°
With the nearest neighbours (Å) after each atom.
Sites, in units of the cell vectors:
1 K 0.0812 0.2500 0.1560  6 Se 3.16-3.29
2 K 0.9188 0.7500 0.8440  6 Se 3.16-3.29
3 Na 0.2451 0.7500 0.4918  6 Se 2.92-3.23
4 Na 0.7549 0.2500 0.5082  6 Se 2.92-3.23
5 Hf 0.4033 0.2500 0.8163  5 Se 2.53-2.76
6 Hf 0.5967 0.7500 0.1837  5 Se 2.53-2.76
7 Se 0.1241 0.2500 0.6727  1 Hf 2.53
8 Se 0.3104 0.7500 0.9846  3 Hf 2.76-2.90
9 Se 0.4467 0.2500 0.3120  2 Hf 2.70, 1 Na 3.00
10 Se 0.5533 0.7500 0.6880  2 Hf 2.70, 1 Na 3.00
11 Se 0.6896 0.2500 0.0154  3 Hf 2.76-2.90
12 Se 0.8759 0.7500 0.3273  1 Hf 2.53

## Properties
* E above lowest polymorph: 0.035 eV/atom
* uncorrected energy: -30.58 eV/f.u.